Computed, not measured: a relaxed HfHgI6 crystal at the PBE level of DFT.

Properties
Space group: No. 12
Size of the total moment in μB/atom: 0.000
Formation energy without anion corrections in eV/atom: -0.5778
E_tot in eV per cell: -24.18

Lattice parameters (Å, degrees): 7.7996 7.7996 7.5249 100.92 100.92 122.40
Atoms (fractional coordinates):
Hf1 0.0000 0.0000 0.0000
Hg1 0.5000 0.5000 0.5000
I1 0.0928 0.3977 0.2442
I2 0.2221 0.2221 0.7775
I3 0.3977 0.0928 0.2442
I4 0.6023 0.9072 0.7558
I5 0.7779 0.7779 0.2225
I6 0.9072 0.6023 0.7558

=====

Computed, not measured: a relaxed HfHgI2 crystal at the PBE level of DFT.

Properties
Space group: No. 122
Size of the total moment in μB/atom: 0.232
Formation energy without anion corrections in eV/atom: -0.1510
E_tot in eV per cell: -27.92

Lattice parameters (Å, degrees): 7.8513 7.8513 7.8513 98.16 98.16 135.73
Atoms (fractional coordinates):
Hf1 0.0000 0.0000 0.0000
Hf2 0.7500 0.2500 0.5000
Hg1 0.2500 0.7500 0.5000
Hg2 0.5000 0.5000 0.0000
I1 0.3750 0.2296 0.3546
I2 0.7704 0.1250 0.1454
I3 0.8750 0.0204 0.6454
I4 0.9796 0.6250 0.8546

=====

Computed, not measured: a relaxed HfHgI6 crystal at the PBE level of DFT.

Properties
Space group: No. 2
Size of the total moment in μB/atom: 0.000
Formation energy without anion corrections in eV/atom: -0.5785
E_tot in eV per cell: -24.18

Lattice parameters (Å, degrees): 7.3565 7.5088 7.7725 96.50 112.20 116.93
Atoms (fractional coordinates):
Hf1 0.0000 0.0000 0.0000
Hg1 0.0000 0.5000 0.5000
I1 0.1694 0.4251 0.2531
I2 0.1710 0.2213 0.7736
I3 0.4388 0.0638 0.2295
I4 0.5612 0.9362 0.7705
I5 0.8290 0.7787 0.2264
I6 0.8306 0.5749 0.7469

=====

Computed, not measured: a relaxed HfHgI4 crystal at the PBE level of DFT.

Properties
Space group: No. 40
Size of the total moment in μB/atom: 0.000
Formation energy without anion corrections in eV/atom: -0.6955
E_tot in eV per cell: -41.26

Lattice parameters (Å, degrees): 13.6650 7.7515 7.7515 114.32 90.00 90.00
Atoms (fractional coordinates):
Hf1 0.2500 0.1038 0.8962
Hf2 0.7500 0.8962 0.1038
Hg1 0.0000 0.5722 0.5722
Hg2 0.5000 0.5722 0.5722
I1 0.0901 0.1264 0.7074
I2 0.2500 0.3845 0.2436
I3 0.2500 0.7704 0.9223
I4 0.4099 0.1264 0.7074
I5 0.5901 0.7074 0.1264
I6 0.7500 0.2436 0.3845
I7 0.7500 0.9223 0.7704
I8 0.9099 0.7074 0.1264

=====

Computed, not measured: a relaxed HfHgI3 crystal at the PBE level of DFT.

Properties
Space group: No. 221
Size of the total moment in μB/atom: 0.000
Formation energy without anion corrections in eV/atom: -0.4100
E_tot in eV per cell: -16.96

Lattice parameters (Å, degrees): 5.7211 5.7211 5.7211 90.00 90.00 90.00
Atoms (fractional coordinates):
Hf1 0.0000 0.0000 0.0000
Hg1 0.5000 0.5000 0.5000
I1 0.0000 0.0000 0.5000
I2 0.0000 0.5000 0.0000
I3 0.5000 0.0000 0.0000

=====

Computed, not measured: a relaxed HfInHgI6 crystal at the PBE level of DFT.

Properties
Space group: No. 163
Size of the total moment in μB/atom: 0.000
Formation energy without anion corrections in eV/atom: -0.6184
E_tot in eV per cell: -55.72

Lattice parameters (Å, degrees): 7.6644 7.6644 18.8832 90.00 90.00 120.00
Atoms (fractional coordinates):
Hf1 0.3333 0.6667 0.2500
Hf2 0.6667 0.3333 0.7500
In1 0.3333 0.6667 0.7500
In2 0.6667 0.3333 0.2500
Hg1 0.0000 0.0000 0.0000
Hg2 0.0000 0.0000 0.5000
I1 0.0250 0.3716 0.1607
I2 0.0250 0.6534 0.3393
I3 0.3466 0.3716 0.3393
I4 0.3466 0.9750 0.1607
I5 0.3716 0.0250 0.6607
I6 0.3716 0.3466 0.8393
I7 0.6284 0.6534 0.1607
I8 0.6284 0.9750 0.3393
I9 0.6534 0.0250 0.8393
I10 0.6534 0.6284 0.6607
I11 0.9750 0.3466 0.6607
I12 0.9750 0.6284 0.8393

=====

Computed, not measured: a relaxed HfInHgI2 crystal at the PBE level of DFT.

Properties
Space group: No. 123
Size of the total moment in μB/atom: 0.000
Formation energy without anion corrections in eV/atom: 0.0323
E_tot in eV per cell: -15.93

Lattice parameters (Å, degrees): 5.6545 5.6545 5.7291 90.00 90.00 90.00
Atoms (fractional coordinates):
Hf1 0.0000 0.0000 0.0000
In1 0.5000 0.5000 0.5000
Hg1 0.0000 0.0000 0.5000
I1 0.0000 0.5000 0.0000
I2 0.5000 0.0000 0.0000

=====

Computed, not measured: a relaxed HfIn2HgI6 crystal at the PBE level of DFT.

Properties
Space group: No. 1
Size of the total moment in μB/atom: 0.000
Formation energy without anion corrections in eV/atom: -0.6217
E_tot in eV per cell: -31.25

Lattice parameters (Å, degrees): 8.3206 8.3472 9.3201 63.52 63.54 60.25
Atoms (fractional coordinates):
Hf1 0.0000 0.0000 0.0000
In1 0.3464 0.3479 0.9605
In2 0.8247 0.8277 0.5187
Hg1 0.4945 0.4951 0.5166
I1 0.0330 0.8051 0.7993
I2 0.1847 0.6333 0.2151
I3 0.3642 0.0320 0.8021
I4 0.6313 0.9668 0.2130
I5 0.8060 0.3624 0.8002
I6 0.9666 0.1860 0.2152

=====

Which of these has the highest E_tot? HfInHgI2